Record 1
5
Lattice="4.3267 0.0000 0.0000 0.0000 4.3267 0.0000 0.0000 0.0000 5.5106" Properties=species:S:1:pos:R:3 comment="MgNbFe2N | the Alexandria database | PBEsol | relaxed" formation_energy_uncorrected_ev_per_atom=2.405 vol_a3_per_atom=20.6 mass_density_g_cm3=3.9 energy_ev_per_cell=-26.97 pbc="T T T"
Mg 0.0000 0.0000 0.0000
Nb 0.0000 0.0000 2.7553
Fe 0.0000 2.1633 2.7553
Fe 2.1633 0.0000 2.7553
N 2.1633 2.1633 0.0000

=====

Record 2
5
Lattice="4.4322 0.0000 0.0000 0.0000 4.4322 0.0000 0.0000 0.0000 4.4322" Properties=species:S:1:pos:R:3 comment="NaMgFe3 | the Alexandria database | PBEsol | relaxed" e_form_ev_per_atom=1.811 vol_a3_per_atom=17.4 mass_density_g_cm3=4.1 energy_ev_per_cell=-20.95 pbc="T T T"
Na 0.0000 0.0000 0.0000
Mg 2.2161 2.2161 2.2161
Fe 0.0000 0.0000 2.2161
Fe 0.0000 2.2161 0.0000
Fe 2.2161 0.0000 0.0000

=====

Record 3
10
Lattice="3.6126 0.0000 0.0000 0.0000 3.6126 0.0000 0.0000 0.0000 15.2003" Properties=species:S:1:pos:R:3 comment="Mg2Nb2Fe | the Alexandria database | PBEsol | relaxed" e_form_ev_per_atom=0.841 vol_a3_per_atom=19.8 mass_density_g_cm3=4.9 energy_ev_per_cell=-59.67 pbc="T T T"
Mg 0.0000 0.0000 1.3583
Mg 0.0000 0.0000 13.8420
Mg 1.8063 1.8063 6.2419
Mg 1.8063 1.8063 8.9585
Nb 0.0000 1.8063 3.8001
Nb 0.0000 1.8063 11.4003
Nb 1.8063 0.0000 3.8001
Nb 1.8063 0.0000 11.4003
Fe 0.0000 0.0000 7.6002
Fe 1.8063 1.8063 0.0000

=====

Record 4
64
Lattice="8.4524 0.0000 0.0000 0.0000 8.4524 0.0000 0.0000 0.0000 8.4582" Properties=species:S:1:pos:R:3 comment="Mg30NbFeO32 | the Alexandria database | PBEsol | relaxed" formation_energy_uncorrected_ev_per_atom=-2.595 vol_a3_per_atom=9.4 mass_density_g_cm3=3.8 energy_ev_per_cell=-405.38 pbc="T T T"
Mg 0.0000 0.0000 0.0000
Mg 0.0000 2.0935 2.1299
Mg 0.0000 2.0935 6.3283
Mg 0.0000 4.2262 0.0000
Mg 0.0000 4.2262 4.2291
Mg 0.0000 6.3589 2.1299
Mg 0.0000 6.3589 6.3283
Mg 2.0776 2.0776 4.2291
Mg 2.0776 6.3748 4.2291
Mg 2.0935 0.0000 2.1299
Mg 2.0935 0.0000 6.3283
Mg 2.0939 4.2262 2.0992
Mg 2.0939 4.2262 6.3590
Mg 2.1084 2.1084 0.0000
Mg 2.1084 6.3439 0.0000
Mg 4.2262 0.0000 0.0000
Mg 4.2262 0.0000 4.2291
Mg 4.2262 2.0939 2.0992
Mg 4.2262 2.0939 6.3590
Mg 4.2262 4.2262 0.0000
Mg 4.2262 6.3585 2.0992
Mg 4.2262 6.3585 6.3590
Mg 6.3439 2.1084 0.0000
Mg 6.3439 6.3439 0.0000
Mg 6.3589 0.0000 2.1299
Mg 6.3589 0.0000 6.3283
Mg 6.3585 4.2262 2.0992
Mg 6.3585 4.2262 6.3590
Mg 6.3748 2.0776 4.2291
Mg 6.3748 6.3748 4.2291
Nb 4.2262 4.2262 4.2291
Fe 0.0000 0.0000 4.2291
O 0.0000 0.0000 2.1239
O 0.0000 0.0000 6.3343
O 0.0000 2.0860 4.2291
O 0.0000 2.1047 0.0000
O 0.0000 4.2262 2.1111
O 0.0000 4.2262 6.3471
O 0.0000 6.3477 0.0000
O 0.0000 6.3664 4.2291
O 2.0167 4.2262 4.2291
O 2.0860 0.0000 4.2291
O 2.1003 4.2262 0.0000
O 2.1047 0.0000 0.0000
O 2.1135 2.1135 2.1192
O 2.1135 2.1135 6.3390
O 2.1135 6.3388 2.1192
O 2.1135 6.3388 6.3390
O 4.2262 0.0000 2.1111
O 4.2262 0.0000 6.3471
O 4.2262 2.0167 4.2291
O 4.2262 2.1003 0.0000
O 4.2262 4.2262 2.0175
O 4.2262 4.2262 6.4407
O 4.2262 6.3521 0.0000
O 4.2262 6.4357 4.2291
O 6.3388 2.1135 2.1192
O 6.3388 2.1135 6.3390
O 6.3388 6.3388 2.1192
O 6.3388 6.3388 6.3390
O 6.3477 0.0000 0.0000
O 6.3521 4.2262 0.0000
O 6.3664 0.0000 4.2291
O 6.4357 4.2262 4.2291

=====

Record 5
16
Lattice="6.1041 0.0000 0.0000 0.0000 6.1041 0.0000 0.0000 0.0000 6.1041" Properties=species:S:1:pos:R:3 comment="Mg2FeNi | the Alexandria database | PBEsol | relaxed" e_form_ev_per_atom=0.210 vol_a3_per_atom=14.2 mass_density_g_cm3=4.8 energy_ev_per_cell=-70.87 pbc="T T T"
Mg 0.0000 0.0000 0.0000
Mg 0.0000 3.0521 3.0521
Mg 1.5260 1.5260 1.5260
Mg 1.5260 4.5781 4.5781
Mg 3.0521 0.0000 3.0521
Mg 3.0521 3.0521 0.0000
Mg 4.5781 1.5260 4.5781
Mg 4.5781 4.5781 1.5260
Fe 1.5260 1.5260 4.5781
Fe 1.5260 4.5781 1.5260
Fe 4.5781 1.5260 1.5260
Fe 4.5781 4.5781 4.5781
Ni 0.0000 0.0000 3.0521
Ni 0.0000 3.0521 0.0000
Ni 3.0521 0.0000 0.0000
Ni 3.0521 3.0521 3.0521

=====

Record 6
8
Lattice="3.8565 0.0000 0.0000 0.0000 3.8565 0.0000 0.0000 0.0000 7.6192" Properties=species:S:1:pos:R:3 comment="Mg2FeNi | the Alexandria database | PBEsol | relaxed" e_form_ev_per_atom=0.233 vol_a3_per_atom=14.2 mass_density_g_cm3=4.8 energy_ev_per_cell=-35.25 pbc="T T T"
Mg 0.0000 1.9282 1.9048
Mg 0.0000 1.9282 5.7144
Mg 1.9282 0.0000 1.9048
Mg 1.9282 0.0000 5.7144
Fe 0.0000 0.0000 0.0000
Fe 1.9282 1.9282 3.8096
Ni 0.0000 0.0000 3.8096
Ni 1.9282 1.9282 0.0000

=====

Record 7
12
Lattice="5.6356 0.0000 0.0000 0.0000 5.6356 0.0000 0.0000 0.0000 5.6356" Properties=species:S:1:pos:R:3 comment="MgFeNi | the Alexandria database | PBEsol | relaxed" e_form_ev_per_atom=0.428 vol_a3_per_atom=14.9 mass_density_g_cm3=5.2 energy_ev_per_cell=-62.21 pbc="T T T"
Mg 0.0000 0.0000 0.0000
Mg 0.0000 2.8178 2.8178
Mg 2.8178 0.0000 2.8178
Mg 2.8178 2.8178 0.0000
Fe 0.0000 0.0000 2.8178
Fe 0.0000 2.8178 0.0000
Fe 2.8178 0.0000 0.0000
Fe 2.8178 2.8178 2.8178
Ni 1.4089 1.4089 4.2267
Ni 1.4089 4.2267 1.4089
Ni 4.2267 1.4089 1.4089
Ni 4.2267 4.2267 4.2267

=====

Record 8
16
Lattice="6.1021 0.0000 0.0000 0.0000 6.1021 0.0000 0.0000 0.0000 6.1021" Properties=species:S:1:pos:R:3 comment="Mg2FeNi | the Alexandria database | PBEsol | relaxed" e_form_ev_per_atom=0.244 vol_a3_per_atom=14.2 mass_density_g_cm3=4.8 energy_ev_per_cell=-70.32 pbc="T T T"
Mg 1.5255 1.5255 1.5255
Mg 1.5255 1.5255 4.5766
Mg 1.5255 4.5766 1.5255
Mg 1.5255 4.5766 4.5766
Mg 4.5766 1.5255 1.5255
Mg 4.5766 1.5255 4.5766
Mg 4.5766 4.5766 1.5255
Mg 4.5766 4.5766 4.5766
Fe 0.0000 0.0000 0.0000
Fe 0.0000 3.0511 3.0511
Fe 3.0511 0.0000 3.0511
Fe 3.0511 3.0511 0.0000
Ni 0.0000 0.0000 3.0511
Ni 0.0000 3.0511 0.0000
Ni 3.0511 0.0000 0.0000
Ni 3.0511 3.0511 3.0511

=====

Record 9
5
Lattice="4.8554 0.0000 0.0000 0.0000 4.8554 0.0000 0.0000 0.0000 4.2870" Properties=species:S:1:pos:R:3 comment="Mg2FeNiSe | the Alexandria database | PBEsol | relaxed" formation_energy_uncorrected_ev_per_atom=0.642 vol_a3_per_atom=20.2 mass_density_g_cm3=4.0 energy_ev_per_cell=-19.20 pbc="T T T"
Mg 0.0000 2.4277 0.0000
Mg 2.4277 0.0000 0.0000
Fe 0.0000 0.0000 2.1435
Ni 2.4277 2.4277 2.1435
Se 0.0000 0.0000 0.0000

=====

Record 10
10
Lattice="1.4862 0.8580 12.2765 -1.4862 0.8580 12.2765 0.0000 -1.7161 12.2765" Properties=species:S:1:pos:R:3 comment="Mg4FeO5 | the Alexandria database | PBEsol | relaxed" formation_energy_uncorrected_ev_per_atom=-2.361 vol_a3_per_atom=9.4 mass_density_g_cm3=4.1 energy_ev_per_cell=-65.68 pbc="T T T"
Mg 0.0000 0.0000 3.6592
Mg 0.0000 0.0000 11.0572
Mg 0.0000 0.0000 25.7722
Mg 0.0000 0.0000 33.1703
Fe 0.0000 0.0000 18.4147
O 0.0000 0.0000 0.0000
O 0.0000 0.0000 7.4340
O 0.0000 0.0000 14.7144
O 0.0000 0.0000 22.1151
O 0.0000 0.0000 29.3955